## NaPW2 (PBE)

Data for a relaxed NaPW2 crystal.

Summary:
DOS(E_F): 0.789 states/eV per atom
E_form: 0.95 eV/atom

Geometry as POSCAR:
```
NaPW2
1.0
3.877 0.000 0.000
0.000 3.877 0.000
1.938 1.938 9.401
W P Na
4 2 2
direct
0.875 0.923 0.750
0.077 0.625 0.250
0.673 0.125 0.250
0.375 0.327 0.750
0.750 0.250 0.500
0.000 0.000 0.000
0.500 0.500 0.000
0.250 0.750 0.500
```